[1]
## Ca2NiGePb (GGA-PBE)

Data for a relaxed structure of Ca2NiGePb.

The density comes out at 4.94 g cm⁻³.

Unit cell a=5.655 b=5.655 c=4.403 alpha=90.00 beta=90.00 gamma=90.00
Space group P4/mmm (No. 123)
Symmetry-distinct sites (fractional):
Ca  0.000  0.500  0.000
Ni  0.000  0.000  0.500
Ge  0.000  0.000  0.000
Pb  0.500  0.500  0.500



[2]
## Ca2NiGePd (GGA-PBE)

Data for a relaxed structure of Ca2NiGePd.

The density comes out at 4.29 g cm⁻³.

Unit cell a=5.142 b=5.142 c=4.653 alpha=90.00 beta=90.00 gamma=90.00
Space group P4/mmm (No. 123)
Symmetry-distinct sites (fractional):
Ca  0.000  0.500  0.000
Ni  0.000  0.000  0.000
Ge  0.500  0.500  0.500
Pd  0.000  0.000  0.500



[3]
## CaNiGe2Pd (GGA-PBE)

Data for a relaxed structure of CaNiGe2Pd.

The density comes out at 6.41 g cm⁻³.

Unit cell a=4.223 b=4.223 c=10.180 alpha=90.00 beta=90.00 gamma=90.00
Space group I-4m2 (No. 119)
Symmetry-distinct sites (fractional):
Ca  0.000  0.000  0.000
Ni  0.000  0.500  0.250
Ge  0.000  0.000  0.374
Pd  0.000  0.500  0.750



Energy of formation from the pure elements values (in meV per atom) by entry order: -127; 54; -602.